# 1
{
  "formula": "Ca2TaRh",
  "functional": "PBE",
  "state": "optimized geometry",
  "de_polymorph_ev_per_atom": 0.088,
  "total_magnetization_mub_per_atom": 0.0000,
  "density_kg_m3": 4972,
  "formation_energy_ev_per_atom": 0.047,
  "lattice_angstrom": [[2.1234, 1.2260, 7.7816], [-2.1234, 1.2260, 7.7816], [0.0000, -2.4519, 7.7816]],
  "species": ["Ca", "Ca", "Ta", "Rh"],
  "frac_coords": [[0.0000, 0.0000, 0.0000], [0.1867, 0.1867, 0.1867], [0.4311, 0.4311, 0.4311], [0.7494, 0.7494, 0.7494]]
}


# 2
{
  "formula": "CaTa2Rh",
  "functional": "PBE",
  "state": "optimized geometry",
  "de_polymorph_ev_per_atom": 0.248,
  "total_magnetization_mub_per_atom": 0.0000,
  "density_kg_m3": 11129,
  "formation_energy_ev_per_atom": 0.240,
  "lattice_angstrom": [[3.2018, 0.0000, 0.0000], [0.0000, 4.5686, 0.0000], [0.0000, 0.0000, 5.1500]],
  "species": ["Ca", "Ta", "Ta", "Rh"],
  "frac_coords": [[0.0000, 0.0000, 0.0000], [0.0000, 0.5000, 0.5000], [0.5000, 0.0000, 0.5000], [0.5000, 0.5000, 0.0000]]
}


# 3
{
  "formula": "CaTa2Rh",
  "functional": "PBE",
  "state": "optimized geometry",
  "de_polymorph_ev_per_atom": 0.284,
  "total_magnetization_mub_per_atom": 0.0000,
  "density_kg_m3": 11084,
  "formation_energy_ev_per_atom": 0.276,
  "lattice_angstrom": [[2.9391, 0.0000, 0.0000], [0.0000, 4.9401, 0.0000], [-1.0967, 0.0000, 5.2095]],
  "species": ["Ca", "Ta", "Ta", "Rh"],
  "frac_coords": [[0.0000, 0.0000, 0.0000], [0.2838, 0.5000, 0.7314], [0.7162, 0.5000, 0.2686], [0.5000, 0.0000, 0.5000]]
}


# 4
{
  "formula": "Ca2TaRh",
  "functional": "PBE",
  "state": "optimized geometry",
  "de_polymorph_ev_per_atom": 0.450,
  "total_magnetization_mub_per_atom": 0.0000,
  "density_kg_m3": 7072,
  "formation_energy_ev_per_atom": 0.410,
  "lattice_angstrom": [[3.1004, 0.0000, 0.0000], [0.0000, 4.8983, 0.0000], [-0.7364, 0.0000, 5.6283]],
  "species": ["Ca", "Ca", "Ta", "Rh"],
  "frac_coords": [[0.0653, 0.0000, 0.2607], [0.9347, 0.0000, 0.7393], [0.5000, 0.5000, 0.0000], [0.5000, 0.5000, 0.5000]]
}